# PBE Ac2TmBi2Te2, optimized geometry
data_Ac2TmBi2Te2
_chemical_formula_sum 'Ac4 Tm2 Bi4 Te4'
_cell_length_a 5.768
_cell_length_b 5.768
_cell_length_c 16.766
_cell_angle_alpha 90.00
_cell_angle_beta 90.00
_cell_angle_gamma 90.00
_symmetry_space_group_name_H-M 'I 4/m m m'
_symmetry_Int_Tables_number 139
_symmetry_space_group_name_Hall '-I 4 2'
loop_
_atom_site_label
_atom_site_type_symbol
_atom_site_fract_x
_atom_site_fract_y
_atom_site_fract_z
_atom_site_occupancy
Ac1 Ac 0.000 0.000 0.128 1
Tm1 Tm 0.000 0.000 0.500 1
Bi1 Bi 0.000 0.500 0.000 1
Te1 Te 0.000 0.000 0.319 1
# Energy relative to the elements, uncorrected, eV/atom: -0.836

# PBE AcYBiTe, optimized geometry
data_AcYBiTe
_chemical_formula_sum 'Ac3 Y3 Bi3 Te3'
_cell_length_a 4.4982
_cell_length_b 4.4982
_cell_length_c 24.3359
_cell_angle_alpha 90.00
_cell_angle_beta 90.00
_cell_angle_gamma 120.00
_symmetry_space_group_name_H-M 'R 3 m'
_symmetry_Int_Tables_number 160
_symmetry_space_group_name_Hall 'R 3 -2"'
loop_
_atom_site_label
_atom_site_type_symbol
_atom_site_fract_x
_atom_site_fract_y
_atom_site_fract_z
_atom_site_occupancy
Ac1 Ac 0.0000 0.0000 0.0000 1
Y1 Y 0.0000 0.0000 0.1743 1
Bi1 Bi 0.0000 0.0000 0.5806 1
Te1 Te 0.0000 0.0000 0.4262 1
# Energy relative to the elements, uncorrected, eV/atom: -1.092
# Energy above the lowest structure with this stoichiometry, meV/atom: 0.0

# PBE AcYBiTe, optimized geometry
data_AcYBiTe
_chemical_formula_sum 'Ac4 Y4 Bi4 Te4'
_cell_length_a 7.995
_cell_length_b 7.995
_cell_length_c 7.995
_cell_angle_alpha 90.00
_cell_angle_beta 90.00
_cell_angle_gamma 90.00
_symmetry_space_group_name_H-M 'F -4 3 m'
_symmetry_Int_Tables_number 216
_symmetry_space_group_name_Hall 'F -4 2 3'
loop_
_atom_site_label
_atom_site_type_symbol
_atom_site_fract_x
_atom_site_fract_y
_atom_site_fract_z
_atom_site_occupancy
Ac1 Ac 0.000 0.000 0.000 1
Y1 Y 0.000 0.000 0.500 1
Bi1 Bi 0.250 0.250 0.250 1
Te1 Te 0.250 0.250 0.750 1
# Energy relative to the elements, uncorrected, eV/atom: -0.970
# Energy above the lowest structure with this stoichiometry, meV/atom: 122.0

# PBE Ac2YBi2Te2, optimized geometry
data_Ac2YBi2Te2
_chemical_formula_sum 'Ac4 Y2 Bi4 Te4'
_cell_length_a 5.837
_cell_length_b 5.837
_cell_length_c 16.704
_cell_angle_alpha 90.00
_cell_angle_beta 90.00
_cell_angle_gamma 90.00
_symmetry_space_group_name_H-M 'I 4/m m m'
_symmetry_Int_Tables_number 139
_symmetry_space_group_name_Hall '-I 4 2'
loop_
_atom_site_label
_atom_site_type_symbol
_atom_site_fract_x
_atom_site_fract_y
_atom_site_fract_z
_atom_site_occupancy
Ac1 Ac 0.000 0.000 0.127 1
Y1 Y 0.000 0.000 0.500 1
Bi1 Bi 0.000 0.500 0.000 1
Te1 Te 0.000 0.000 0.317 1
# Energy relative to the elements, uncorrected, eV/atom: -0.838

# PBE AcThBi, optimized geometry
data_AcThBi
_chemical_formula_sum 'Ac2 Th2 Bi2'
_cell_length_a 4.252
_cell_length_b 4.252
_cell_length_c 11.928
_cell_angle_alpha 90.00
_cell_angle_beta 90.00
_cell_angle_gamma 90.00
_symmetry_space_group_name_H-M 'I 4 m m'
_symmetry_Int_Tables_number 107
_symmetry_space_group_name_Hall 'I 4 -2'
loop_
_atom_site_label
_atom_site_type_symbol
_atom_site_fract_x
_atom_site_fract_y
_atom_site_fract_z
_atom_site_occupancy
Ac1 Ac 0.000 0.000 0.000 1
Th1 Th 0.000 0.000 0.298 1
Bi1 Bi 0.000 0.000 0.672 1
# Formation energy, eV/f.u.: -0.984
# Energy above the lowest structure with this stoichiometry, meV/atom: 0.0

# PBE Ac3ThBi4, optimized geometry
data_Ac3ThBi4
_chemical_formula_sum 'Ac6 Th2 Bi8'
_cell_length_a 9.615
_cell_length_b 13.568
_cell_length_c 4.795
_cell_angle_alpha 90.00
_cell_angle_beta 90.00
_cell_angle_gamma 90.00
_symmetry_space_group_name_H-M 'C m m m'
_symmetry_Int_Tables_number 65
_symmetry_space_group_name_Hall '-C 2 2'
loop_
_atom_site_label
_atom_site_type_symbol
_atom_site_fract_x
_atom_site_fract_y
_atom_site_fract_z
_atom_site_occupancy
Ac1 Ac 0.000 0.000 0.000 1
Ac2 Ac 0.250 0.250 0.500 1
Th1 Th 0.000 0.500 0.000 1
Bi1 Bi 0.000 0.257 0.000 1
Bi2 Bi 0.238 0.500 0.500 1
# Formation energy, eV/f.u.: -7.174

Number 1: Fermi-level density of states 0.71 states/eV per atom. Number 2: Fermi-level density of states 0.82 states/eV per atom. Number 3: Fermi-level density of states 0.81 states/eV per atom. Number 4: Fermi-level density of states 0.64 states/eV per atom. Number 5: Fermi-level density of states 0.78 states/eV per atom. Number 6: Fermi-level density of states 0.24 states/eV per atom.